{
  "formula": "NbSbPd",
  "functional": "GGA-PBE",
  "state": "relaxed",
  "lattice_angstrom": [[3.085, -0.005, 0.000], [1.530, 4.773, -0.003], [0.591, 0.544, 7.684]],
  "species": ["Sb", "Sb", "Nb", "Pd", "Pd", "Nb"],
  "frac_coords": [[0.925, 0.201, 0.561], [0.205, 0.653, 0.088], [0.647, 0.718, 0.752], [0.246, 0.668, 0.440], [0.568, 0.116, 0.245], [0.083, 0.198, 0.922]],
  "total_magnetization_mub_per_cell": 0.00,
  "final_energy_ev_per_atom": -6.679,
  "formation_energy_uncorrected_kj_per_mol_atoms": -20.97
}

***

{
  "formula": "NbSbPd",
  "functional": "GGA-PBE",
  "state": "relaxed",
  "lattice_angstrom": [[3.135, 0.000, -0.008], [0.000, 4.636, 0.000], [-0.815, 0.000, 7.642]],
  "species": ["Pd", "Nb", "Nb", "Sb", "Sb", "Pd"],
  "frac_coords": [[0.265, 0.750, 0.573], [0.145, 0.250, 0.094], [0.855, 0.750, 0.906], [0.352, 0.250, 0.747], [0.648, 0.750, 0.253], [0.735, 0.250, 0.427]],
  "total_magnetization_mub_per_cell": 0.00,
  "final_energy_ev_per_atom": -6.725,
  "formation_energy_uncorrected_kj_per_mol_atoms": -25.42
}

***

{
  "formula": "NbSbPd",
  "functional": "GGA-PBE",
  "state": "relaxed",
  "lattice_angstrom": [[-0.741, 3.151, -0.472], [-2.874, -1.815, 4.307], [5.932, 1.954, 3.021]],
  "species": ["Pd", "Nb", "Nb", "Sb", "Sb", "Pd"],
  "frac_coords": [[0.827, 0.678, 0.625], [0.399, 0.790, 0.299], [0.004, 0.062, 0.001], [0.756, 0.517, 0.984], [0.141, 0.284, 0.411], [0.546, 0.108, 0.672]],
  "total_magnetization_mub_per_cell": 0.00,
  "final_energy_ev_per_atom": -6.671,
  "formation_energy_uncorrected_kj_per_mol_atoms": -20.24
}

***

{
  "formula": "NbSb2Pd",
  "functional": "GGA-PBE",
  "state": "relaxed",
  "lattice_angstrom": [[6.400, 0.000, 0.000], [0.000, 6.400, 0.000], [3.200, 3.200, 5.662]],
  "species": ["Pd", "Sb", "Nb", "Sb", "Pd", "Sb", "Sb", "Nb"],
  "frac_coords": [[0.750, 0.250, 0.500], [0.375, 0.364, 0.750], [0.250, 0.750, 0.500], [0.636, 0.125, 0.250], [0.000, 0.000, 0.000], [0.114, 0.625, 0.250], [0.875, 0.886, 0.750], [0.500, 0.500, 0.000]],
  "total_magnetization_mub_per_cell": 0.00,
  "final_energy_ev_per_atom": -5.538,
  "formation_energy_uncorrected_kj_per_mol_atoms": 32.74
}

***

What is the formula in the first record? NbSbPd